Entry from Alexandria: an optimized crystal structure of TiHg2O (PBE).

Results
VASP energy, Ha/atom: -0.1456
Crystal system: tetragonal
Formation energy without anion corrections, kJ per mole of atoms: -58

a b c (Å): 10.3801 10.3801 3.7246
angles (deg): 90.00 90.00 90.00
Closest atoms and distances in Å follow each position.
Space group I-42d (No. 122)
Asymmetric unit:
Ti (0.0000, 0.0000, 0.0000) [4 per cell]  2 O 1.86
Hg (0.1258, 0.2500, 0.6250) [8 per cell]  2 O 2.94, 2 Hg 3.18, 2 Ti 3.22
O (0.0000, 0.0000, 0.5000) [4 per cell]  2 Ti 1.86



Entry from Alexandria: an optimized crystal structure of Ti2HgO (PBE).

Results
VASP energy, Ha/atom: -0.2293
Crystal system: tetragonal
Formation energy without anion corrections, kJ per mole of atoms: -94

a b c (Å): 5.2208 5.2208 10.7766
angles (deg): 90.00 90.00 90.00
Closest atoms and distances in Å follow each position.
Space group I-42d (No. 122)
Asymmetric unit:
Ti (0.1048, 0.2500, 0.1250) [8 per cell]  2 O 1.95
Hg (0.0000, 0.0000, 0.5000) [4 per cell]  4 Ti 2.79
O (0.0000, 0.0000, 0.0000) [4 per cell]  4 Ti 1.95



Entry from Alexandria: an optimized crystal structure of Ti5Hg3O12 (PBE).

Results
VASP energy, Ha/atom: -0.2623
Crystal system: cubic
Formation energy without anion corrections, kJ per mole of atoms: -207

a b c (Å): 12.9296 12.9296 12.9296
angles (deg): 90.00 90.00 90.00
Closest atoms and distances in Å follow each position.
Space group Ia-3d (No. 230)
Asymmetric unit:
Ti (0.0000, 0.0000, 0.0000) [16 per cell]  6 O 1.99
Ti (0.0000, 0.2500, 0.3750) [24 per cell]  4 O 1.85
Hg (0.0000, 0.2500, 0.1250) [24 per cell]  8 O 2.58-2.76
O (0.0384, 0.0408, 0.6437) [96 per cell]  2 Ti 1.85-1.99



Entry from Alexandria: an optimized crystal structure of Ti4Hg2O (PBE).

Results
VASP energy, Ha/atom: -0.2194
Crystal system: tetragonal
Formation energy without anion corrections, kJ per mole of atoms: -64

a b c (Å): 4.0935 4.0935 14.1517
angles (deg): 90.00 90.00 90.00
Closest atoms and distances in Å follow each position.
Space group I4/mmm (No. 139)
Asymmetric unit:
Ti (0.0000, 0.0000, 0.1577) [4 per cell]  1 O 2.23
Ti (0.0000, 0.5000, 0.0000) [4 per cell]  2 O 2.05
Hg (0.0000, 0.0000, 0.3544) [4 per cell]  9 Ti 2.78-2.90
O (0.0000, 0.0000, 0.0000) [2 per cell]  6 Ti 2.05-2.23



Entry from Alexandria: an optimized crystal structure of TiHgO2 (PBE).

Results
VASP energy, Ha/atom: -0.1977
Crystal system: trigonal
Formation energy without anion corrections, kJ per mole of atoms: -82

a b c (Å): 3.3537 3.3537 19.2727
angles (deg): 90.00 90.00 120.00
Closest atoms and distances in Å follow each position.
Space group R-3m (No. 166, hexagonal axes)
Asymmetric unit:
Ti (0.0000, 0.0000, 0.0000) [3 per cell]  2 O 1.84
Hg (0.0000, 0.0000, 0.5000) [3 per cell]  6 O 2.37
O (0.0000, 0.0000, 0.0956) [6 per cell]  1 Ti 1.84



Entry from Alexandria: an optimized crystal structure of Ti2HgO (PBE).

Results
VASP energy, Ha/atom: -0.2405
Crystal system: trigonal
Formation energy without anion corrections, kJ per mole of atoms: -124

a b c (Å): 3.1855 3.1855 20.0374
angles (deg): 90.00 90.00 120.00
Closest atoms and distances in Å follow each position.
Space group R-3m (No. 166, hexagonal axes)
Asymmetric unit:
Ti (0.0000, 0.0000, 0.2175) [6 per cell]  3 O 2.10
Hg (0.0000, 0.0000, 0.0000) [3 per cell]  6 Ti 2.96, 6 Hg 3.19
O (0.0000, 0.0000, 0.5000) [3 per cell]  6 Ti 2.10



Entry from Alexandria: an optimized crystal structure of Ti6HgO3 (PBE).

Results
VASP energy, Ha/atom: -0.2828
Crystal system: trigonal
Formation energy without anion corrections, kJ per mole of atoms: -139

a b c (Å): 5.5871 5.5871 14.6654
angles (deg): 90.00 90.00 120.00
Closest atoms and distances in Å follow each position.
Space group R3 (No. 146, hexagonal axes)
Asymmetric unit:
Ti (0.0037, 0.3357, 0.0000) [9 per cell]  3 O 2.11-2.16
Ti (0.1390, 0.8044, 0.1670) [9 per cell]  3 O 2.12-2.15
Hg (0.0000, 0.0000, 0.8360) [3 per cell]  6 Ti 2.64-2.95
O (0.0000, 0.0000, 0.0738) [3 per cell]  6 Ti 2.12-2.16
O (0.0000, 0.0000, 0.4035) [3 per cell]  6 Ti 2.11-2.15
O (0.0000, 0.0000, 0.5940) [3 per cell]  6 Ti 2.12-2.16



Entry from Alexandria: an optimized crystal structure of Ti2HgO (PBE).

Results
VASP energy, Ha/atom: -0.2391
Crystal system: trigonal
Formation energy without anion corrections, kJ per mole of atoms: -120

a b c (Å): 3.1635 3.1635 20.3052
angles (deg): 90.00 90.00 120.00
Closest atoms and distances in Å follow each position.
Space group R3m (No. 160, hexagonal axes)
Asymmetric unit:
Ti (0.0000, 0.0000, 0.0000) [3 per cell]  3 O 2.09
Ti (0.0000, 0.0000, 0.2302) [3 per cell]  3 O 2.12
Hg (0.0000, 0.0000, 0.4476) [3 per cell]  6 Ti 2.95-2.98, 6 Hg 3.16
O (0.0000, 0.0000, 0.6162) [3 per cell]  6 Ti 2.09-2.12